Here is a geometry-optimized SmH4Pd7 structure from Alexandria via LeMat-Bulk. Energies are from PBE-GGA.

Final energy ... -58.30 eV/f.u.
Volume ... 299.99 Å³/cell

Cell lengths 4.869, 5.204, 11.840 Å; angles 90.00, 90.00, 90.00 degrees
Atoms (fractional coordinates):
Pd 0.978 0.653 0.125
Pd 0.955 0.196 0.500
Pd 0.957 0.673 0.625
Pd 0.478 0.347 0.375
Pd 0.975 0.163 0.256
Pd 0.475 0.837 0.244
Pd 0.978 0.653 0.875
Pd 0.457 0.327 0.875
Pd 0.475 0.837 0.756
Pd 0.478 0.347 0.625
Pd 0.975 0.163 0.744
Pd 0.457 0.327 0.125
Pd 0.957 0.673 0.375
Pd 0.455 0.804 0.000
H 0.103 0.834 0.748
H 0.603 0.166 0.752
H 0.111 0.354 0.377
H 0.603 0.166 0.248
H 0.611 0.646 0.123
H 0.103 0.834 0.252
H 0.611 0.646 0.877
H 0.111 0.354 0.623
Sm 0.453 0.851 0.500
Sm 0.953 0.149 0.000

Here is a geometry-optimized Sm6HPd2 structure from Alexandria via LeMat-Bulk. Energies are from PBE-GGA.

Final energy ... -46.16 eV/f.u.
Volume ... 469.14 Å³/cell

Cell lengths 6.559, 7.131, 10.031 Å; angles 90.00, 90.25, 90.00 degrees
Atoms (fractional coordinates):
H 0.000 0.000 0.500
H 0.500 0.500 0.000
Pd 0.572 0.884 0.248
Pd 0.928 0.384 0.252
Pd 0.428 0.116 0.752
Pd 0.072 0.616 0.748
Sm 0.856 0.975 0.749
Sm 0.356 0.525 0.249
Sm 0.171 0.320 0.561
Sm 0.644 0.475 0.751
Sm 0.668 0.178 0.441
Sm 0.329 0.820 0.939
Sm 0.832 0.678 0.059
Sm 0.168 0.322 0.941
Sm 0.829 0.680 0.439
Sm 0.332 0.822 0.559
Sm 0.144 0.025 0.251
Sm 0.671 0.180 0.061

Here is a geometry-optimized SmHPd structure from Alexandria via LeMat-Bulk. Energies are from PBE-GGA.

Energy relative to the lowest polymorph listed for this composition ... 0.291 eV/atom
Final energy ... -14.49 eV/f.u.
Volume ... 56.45 Å³/cell

Cell lengths 3.618, 3.618, 5.014 Å; angles 111.15, 111.15, 90.00 degrees
Atoms (fractional coordinates):
Sm 0.577 0.577 0.154
H 0.032 0.032 0.064
Pd 0.241 0.241 0.482

Here is a geometry-optimized SmH3Pd3 structure from Alexandria via LeMat-Bulk. Energies are from PBE-GGA.

Energy relative to the lowest polymorph listed for this composition ... 0.000 eV/atom
Final energy ... -33.86 eV/f.u.
Volume ... 167.54 Å³/cell

Cell lengths 5.513, 5.513, 5.513 Å; angles 90.00, 90.00, 90.00 degrees
Atoms (fractional coordinates):
H 0.750 0.000 0.500
H 0.000 0.500 0.250
H 0.500 0.750 0.000
H 0.000 0.500 0.750
H 0.250 0.000 0.500
H 0.500 0.250 0.000
Pd 0.000 0.250 0.500
Pd 0.500 0.000 0.250
Pd 0.750 0.500 0.000
Pd 0.000 0.750 0.500
Pd 0.500 0.000 0.750
Pd 0.250 0.500 0.000
Sm 0.500 0.500 0.500
Sm 0.000 0.000 0.000

Here is a geometry-optimized Sm2HPd structure from Alexandria via LeMat-Bulk. Energies are from PBE-GGA.

Energy relative to the lowest polymorph listed for this composition ... 0.000 eV/atom
Final energy ... -19.41 eV/f.u.
Volume ... 87.38 Å³/cell

Cell lengths 3.796, 3.796, 7.337 Å; angles 75.01, 75.01, 60.00 degrees
Atoms (fractional coordinates):
Pd 0.667 0.667 0.000
H 0.500 0.500 0.501
Sm 0.246 0.246 0.262
Sm 0.087 0.087 0.738

Here is a geometry-optimized SmH3Pd6 structure from Alexandria via LeMat-Bulk. Energies are from PBE-GGA.

Final energy ... -49.40 eV/f.u.
Volume ... 134.12 Å³/cell

Cell lengths 5.615, 5.691, 5.738 Å; angles 100.16, 122.13, 107.81 degrees
Atoms (fractional coordinates):
H 0.168 0.161 0.315
H 0.826 0.467 0.443
H 0.378 0.582 0.916
Pd 0.963 0.432 0.791
Pd 0.407 0.318 0.722
Pd 0.377 0.230 0.168
Pd 0.359 0.837 0.769
Pd 0.942 0.805 0.166
Pd 0.921 0.327 0.221
Sm 0.658 0.842 0.489